First-principles (GGA-PBE) data for a geometry-optimized LiRePbO6 structure, as listed in Alexandria via LeMat-Bulk.

As for the formation energy without anion corrections: -1.34 eV per atom. As for the total DFT energy (no corrections): -0.2446 hartree per atom. For the total magnetization, the calculation gives 0.0 μB per formula unit.

Cell: 5.1371 5.1371 4.6821 Å, 90.00 90.00 120.00°
Closest atoms and distances in Å follow each position.
Element x y z (fractional)
Li1 0.0000 0.0000 0.0000  6 O 2.07
Re1 0.6667 0.3333 0.0000  6 O 1.90
Pb1 0.3333 0.6667 0.5000  6 O 2.21
O1 0.3596 0.0317 0.7711  1 Re 1.90, 1 Li 2.07
O2 0.3596 0.3279 0.2289  1 Re 1.90, 1 Li 2.07
O3 0.6721 0.0317 0.2289  1 Re 1.90, 1 Li 2.07
O4 0.6721 0.6404 0.7711  1 Re 1.90, 1 Li 2.07
O5 0.9683 0.3279 0.7711  1 Re 1.90, 1 Li 2.07
O6 0.9683 0.6404 0.2289  1 Re 1.90, 1 Li 2.07